! MnOs2Pt, optimized geometry, DFT PBE; values from VASP
! SG = Pmmm (47)
! E_form = 0.113 eV/atom
! V = 13.87 Å³/atom
! Uncorrected energy = -37.22 eV/cell
! DOS(E_F) = 4.02 states/eV/f.u.
! Magnetic moment = 0.30 μB per formula unit
&SYSTEM
  ibrav = 0, nat = 4, ntyp = 3
/
ATOMIC_SPECIES
Os 190.23 Os.upf
Mn 54.94 Mn.upf
Pt 195.08 Pt.upf
CELL_PARAMETERS angstrom
2.6865 0.0000 0.0000
0.0000 3.7989 0.0000
0.0000 0.0000 5.4346
ATOMIC_POSITIONS crystal
Os 0.0000 0.0000 0.9791
Os 0.0000 0.0000 0.5209
Mn 0.5000 0.5000 0.7500
Pt 0.5000 0.5000 0.2500

=====

! MnOs2Pt, optimized geometry, DFT PBE; values from VASP
! SG = I-42d (122)
! E_form = 1.219 eV/atom
! V = 20.01 Å³/atom
! Uncorrected energy = -65.58 eV/cell
! DOS(E_F) = 4.88 states/eV/f.u.
! Magnetic moment = 0.00 μB per formula unit
&SYSTEM
  ibrav = 0, nat = 8, ntyp = 3
/
ATOMIC_SPECIES
Pt 195.08 Pt.upf
Os 190.23 Os.upf
Mn 54.94 Mn.upf
CELL_PARAMETERS angstrom
5.5162 0.0000 0.0000
0.0000 5.5162 0.0000
2.7581 2.7581 5.2602
ATOMIC_POSITIONS crystal
Pt 0.0000 0.0000 0.0000
Pt 0.7500 0.2500 0.5000
Os 0.5945 0.1250 0.2500
Os 0.8750 0.8445 0.7500
Os 0.3750 0.4055 0.7500
Os 0.1555 0.6250 0.2500
Mn 0.5000 0.5000 0.0000
Mn 0.2500 0.7500 0.5000

=====

! MnOs2Pt, optimized geometry, DFT PBE; values from VASP
! SG = I4/mmm (139)
! E_form = 0.104 eV/atom
! V = 14.00 Å³/atom
! Uncorrected energy = -37.25 eV/cell
! DOS(E_F) = 4.46 states/eV/f.u.
! Magnetic moment = 1.55 μB per formula unit
&SYSTEM
  ibrav = 0, nat = 4, ntyp = 3
/
ATOMIC_SPECIES
Mn 54.94 Mn.upf
Pt 195.08 Pt.upf
Os 190.23 Os.upf
CELL_PARAMETERS angstrom
4.7036 0.0002 0.0000
1.6142 4.4180 0.0000
-3.1589 -2.2091 2.6954
ATOMIC_POSITIONS crystal
Mn 0.7500 0.2500 0.5000
Pt 0.2500 0.7500 0.5000
Os 0.5000 0.5000 0.0000
Os 0.0000 0.0000 0.0000

=====

! MnOs2Pt, optimized geometry, DFT PBE; values from VASP
! SG = Pmm2 (25)
! E_form = -0.010 eV/atom
! V = 14.36 Å³/atom
! Uncorrected energy = -37.71 eV/cell
! DOS(E_F) = 3.17 states/eV/f.u.
! Magnetic moment = 2.97 μB per formula unit
&SYSTEM
  ibrav = 0, nat = 4, ntyp = 3
/
ATOMIC_SPECIES
Os 190.23 Os.upf
Pt 195.08 Pt.upf
Mn 54.94 Mn.upf
CELL_PARAMETERS angstrom
3.8083 0.0000 0.0000
0.0000 2.7531 0.0061
0.0000 2.7420 5.4863
ATOMIC_POSITIONS crystal
Os 0.5000 0.2723 0.2277
Os 0.0000 0.9897 0.0100
Pt 0.0000 0.4913 0.5086
Mn 0.5000 0.7468 0.7537

=====

! Mn3OsPt, optimized geometry, DFT PBE; values from VASP
! SG = Pm-3m (221)
! E_form = 1.252 eV/atom
! V = 18.71 Å³/atom
! Uncorrected energy = -38.52 eV/cell
! DOS(E_F) = 6.53 states/eV/f.u.
! ΔE to the lowest computed polymorph = 0.0 kJ/mol of formula units
! Magnetic moment = 8.80 μB per formula unit
&SYSTEM
  ibrav = 0, nat = 5, ntyp = 3
/
ATOMIC_SPECIES
Mn 54.94 Mn.upf
Pt 195.08 Pt.upf
Os 190.23 Os.upf
CELL_PARAMETERS angstrom
4.5398 0.0000 0.0000
0.0000 4.5398 0.0000
0.0000 0.0000 4.5398
ATOMIC_POSITIONS crystal
Mn 0.0000 0.0000 0.5000
Mn 0.5000 0.0000 0.0000
Mn 0.0000 0.5000 0.0000
Pt 0.5000 0.5000 0.5000
Os 0.0000 0.0000 0.0000

=====

! MnOs2Pt, optimized geometry, DFT PBE; values from VASP
! SG = I-4m2 (119)
! E_form = 0.022 eV/atom
! V = 14.12 Å³/atom
! Uncorrected energy = -37.58 eV/cell
! DOS(E_F) = 4.07 states/eV/f.u.
! Magnetic moment = 2.29 μB per formula unit
&SYSTEM
  ibrav = 0, nat = 4, ntyp = 3
/
ATOMIC_SPECIES
Os 190.23 Os.upf
Mn 54.94 Mn.upf
Pt 195.08 Pt.upf
CELL_PARAMETERS angstrom
-2.3412 0.9590 -3.9504
-4.1079 -2.2646 0.0541
2.0614 2.7916 3.1566
ATOMIC_POSITIONS crystal
Os 0.7500 0.2500 0.5000
Os 0.0000 0.0000 0.0000
Mn 0.2500 0.7500 0.5000
Pt 0.5000 0.5000 0.0000

=====

! Mn4OsPt, optimized geometry, DFT PBE; values from VASP
! SG = F-43m (216)
! E_form = 0.025 eV/atom
! V = 12.23 Å³/atom
! Uncorrected energy = -53.80 eV/cell
! DOS(E_F) = 5.73 states/eV/f.u.
! Magnetic moment = 4.00 μB per formula unit
&SYSTEM
  ibrav = 0, nat = 6, ntyp = 3
/
ATOMIC_SPECIES
Os 190.23 Os.upf
Mn 54.94 Mn.upf
Pt 195.08 Pt.upf
CELL_PARAMETERS angstrom
1.0565 -4.1344 1.9695
1.5031 -0.1674 4.4498
-2.7712 -1.7832 3.3509
ATOMIC_POSITIONS crystal
Os 0.7500 0.7500 0.7500
Mn 0.8776 0.3741 0.3741
Mn 0.3741 0.3741 0.8776
Mn 0.3741 0.3741 0.3741
Mn 0.3741 0.8776 0.3741
Pt 0.0000 0.0000 0.0000

=====

! MnOs2Pt, optimized geometry, DFT PBE; values from VASP
! SG = Cmmm (65)
! E_form = 0.356 eV/atom
! V = 14.60 Å³/atom
! Uncorrected energy = -36.24 eV/cell
! DOS(E_F) = 4.85 states/eV/f.u.
! Magnetic moment = 2.62 μB per formula unit
&SYSTEM
  ibrav = 0, nat = 4, ntyp = 3
/
ATOMIC_SPECIES
Os 190.23 Os.upf
Pt 195.08 Pt.upf
Mn 54.94 Mn.upf
CELL_PARAMETERS angstrom
2.6849 0.0003 0.0000
-1.2690 2.3660 0.0000
0.0000 0.0000 9.1907
ATOMIC_POSITIONS crystal
Os 0.0000 0.0000 0.9822
Os 0.0000 0.0000 0.5178
Pt 0.5000 0.5000 0.2500
Mn 0.5000 0.5000 0.7500

=====

! Mn2Os2Pt, optimized geometry, DFT PBE; values from VASP
! SG = P4/mbm (127)
! E_form = 0.167 eV/atom
! V = 13.81 Å³/atom
! Uncorrected energy = -92.00 eV/cell
! DOS(E_F) = 5.27 states/eV/f.u.
! ΔE to the lowest computed polymorph = 16.8 kJ/mol of formula units
! Magnetic moment = 1.13 μB per formula unit
&SYSTEM
  ibrav = 0, nat = 10, ntyp = 3
/
ATOMIC_SPECIES
Os 190.23 Os.upf
Pt 195.08 Pt.upf
Mn 54.94 Mn.upf
CELL_PARAMETERS angstrom
-3.4657 3.9058 4.9313
-3.2472 -5.9329 2.4169
2.0081 -0.3963 1.7251
ATOMIC_POSITIONS crystal
Os 0.6283 0.1283 0.0000
Os 0.1283 0.3717 0.0000
Os 0.8717 0.6283 0.0000
Os 0.3717 0.8717 0.0000
Pt 0.0000 0.0000 0.0000
Pt 0.5000 0.5000 0.0000
Mn 0.3346 0.1654 0.5000
Mn 0.1654 0.6654 0.5000
Mn 0.6654 0.8346 0.5000
Mn 0.8346 0.3346 0.5000

=====

! MnOs2Pt, optimized geometry, DFT PBE; values from VASP
! SG = C2/m (12)
! E_form = 0.060 eV/atom
! V = 14.08 Å³/atom
! Uncorrected energy = -37.43 eV/cell
! DOS(E_F) = 3.43 states/eV/f.u.
! Magnetic moment = 1.76 μB per formula unit
&SYSTEM
  ibrav = 0, nat = 4, ntyp = 3
/
ATOMIC_SPECIES
Os 190.23 Os.upf
Pt 195.08 Pt.upf
Mn 54.94 Mn.upf
CELL_PARAMETERS angstrom
-0.7671 4.4297 1.2679
-0.8888 2.9292 3.5282
4.3934 1.3254 1.1163
ATOMIC_POSITIONS crystal
Os 0.9941 0.9941 0.0132
Os 0.5059 0.5059 0.4868
Pt 0.7500 0.7500 0.7500
Mn 0.2500 0.2500 0.2500

=====

! MnOs2Pt, optimized geometry, DFT PBE; values from VASP
! SG = F-43m (216)
! E_form = 0.419 eV/atom
! V = 14.77 Å³/atom
! Uncorrected energy = -35.99 eV/cell
! DOS(E_F) = 5.49 states/eV/f.u.
! Magnetic moment = 3.65 μB per formula unit
&SYSTEM
  ibrav = 0, nat = 4, ntyp = 3
/
ATOMIC_SPECIES
Os 190.23 Os.upf
Mn 54.94 Mn.upf
Pt 195.08 Pt.upf
CELL_PARAMETERS angstrom
4.3722 0.0000 0.0000
2.1861 3.7864 0.0000
2.1861 1.2621 3.5699
ATOMIC_POSITIONS crystal
Os 0.0000 0.0000 0.0000
Os 0.2500 0.2500 0.2500
Mn 0.5000 0.5000 0.5000
Pt 0.7500 0.7500 0.7500

=====

! MnOs2Pt, optimized geometry, DFT PBE; values from VASP
! SG = R3m (160)
! E_form = 0.069 eV/atom
! V = 14.45 Å³/atom
! Uncorrected energy = -37.39 eV/cell
! DOS(E_F) = 4.64 states/eV/f.u.
! Magnetic moment = 2.97 μB per formula unit
&SYSTEM
  ibrav = 0, nat = 4, ntyp = 3
/
ATOMIC_SPECIES
Os 190.23 Os.upf
Mn 54.94 Mn.upf
Pt 195.08 Pt.upf
CELL_PARAMETERS angstrom
-0.1459 -0.3486 -9.0029
1.7729 -2.2538 -8.5423
-0.8827 -2.9371 -8.4728
ATOMIC_POSITIONS crystal
Os 0.0003 0.0003 0.0003
Os 0.2536 0.2536 0.2536
Mn 0.7488 0.7488 0.7488
Pt 0.4974 0.4974 0.4974